1.
A relaxed Mg12In4Sn crystal, computed with PBE.

Geometry as extended XYZ:
```
17
Lattice="-3.262 3.108 7.338 4.220 -7.330 1.613 5.435 5.755 -3.390" Properties=species:S:1:pos:R:3 pbc="T T T"
Mg -0.291 1.188 6.114
Mg 1.832 -1.692 2.791
Mg 1.577 5.168 3.989
Mg 4.260 4.553 -0.045
Mg 4.816 -3.635 1.572
Mg 4.561 3.225 2.770
Mg 0.894 2.380 2.747
Mg 5.499 -0.847 2.814
Mg 2.133 -3.020 5.607
Mg 2.746 0.692 5.555
Mg 3.647 0.840 0.006
Mg 6.685 0.345 -0.553
In 2.110 -3.665 0.807
In -1.631 1.554 3.669
In 3.197 0.766 2.781
In 2.717 2.877 -1.695
Sn 0.000 0.000 0.000
```

Calculated values
Electronic total energy = -29.3 eV per cell
Crystal system = cubic
Mass density = 2.938 Mg/m³
Energy relative to the elements = 0.28 eV per atom


2.
A relaxed Cs2HfAu crystal, computed with PBE.

Geometry as extended XYZ:
```
8
Lattice="-6.807 6.807 2.608 6.807 -6.807 2.608 6.807 6.807 -2.608" Properties=species:S:1:pos:R:3 pbc="T T T"
Cs 3.403 -1.213 0.652
Cs 10.210 1.213 0.652
Cs 8.020 -3.403 1.956
Cs 5.594 3.403 1.956
Hf 0.000 0.000 2.608
Hf 0.000 6.807 1.304
Au 0.000 0.000 0.000
Au 6.807 0.000 1.304
```

Calculated values
Energy above the most stable polymorph in this dataset = 0.0 meV/atom
Electronic total energy = -24.6 eV per cell
Crystal system = tetragonal
Mass density = 4.406 Mg/m³
Energy relative to the elements = 0.66 eV per atom


3.
A relaxed TlBiRuN crystal, computed with PBE.

Geometry as extended XYZ:
```
4
Lattice="-0.320 0.266 -3.248 2.305 -1.224 -1.977 -4.358 -7.888 -0.295" Properties=species:S:1:pos:R:3 pbc="T T T"
Tl -0.630 -1.780 -3.540
Bi -1.316 -5.392 -2.189
Ru -3.453 -6.891 -3.751
N -2.090 -8.303 -4.001
```

Calculated values
Energy above the most stable polymorph in this dataset = 0.0 meV/atom
Electronic total energy = -22.9 eV per cell
Crystal system = triclinic
E_form (uncorrected) = 0.23 eV/atom
Mass density = 10.481 Mg/m³


4.
A relaxed InFeRh crystal, computed with PBE.

Geometry as extended XYZ:
```
3
Lattice="4.342 0.000 0.000 -2.171 3.760 0.000 0.000 0.000 2.927" Properties=species:S:1:pos:R:3 pbc="T T T"
Fe 0.000 0.000 2.653
In 2.171 1.253 0.947
Rh 0.000 2.507 2.253
```

Calculated values
Energy above the most stable polymorph in this dataset = 44.8 meV/atom
Electronic total energy = -18.5 eV per cell
Crystal system = trigonal
Mass density = 9.507 Mg/m³
Energy relative to the elements = 0.01 eV per atom